1.
# Cd2HgPt

Cd2HgPt after structural relaxation (PBE-GGA, the Alexandria database).

Its crystal system is monoclinic. Its space-group type is No. 6. The formation energy comes out at -0.10 eV/atom.

Lattice parameters (Å, degrees): 3.112 4.633 5.668 90.00 101.63 90.00
Atoms (fractional coordinates):
Cd1 0.000 0.000 0.000
Cd2 0.256 0.500 0.657
Hg1 0.568 0.500 0.189
Pt1 0.700 0.000 0.498

***

2.
# Ti7Al2Re3

Ti7Al2Re3 after structural relaxation (PBE-GGA, the Alexandria database).

Its crystal system is monoclinic. Its space-group type is No. 10. The formation energy comes out at -0.07 eV/atom.

Lattice parameters (Å, degrees): 4.572 3.108 13.878 90.00 94.98 90.00
Atoms (fractional coordinates):
Ti1 0.000 0.000 0.000
Ti2 0.049 0.500 0.173
Ti3 0.264 0.000 0.543
Ti4 0.466 0.000 0.846
Ti5 0.534 0.000 0.154
Ti6 0.736 0.000 0.457
Ti7 0.951 0.500 0.827
Al1 0.195 0.000 0.337
Al2 0.805 0.000 0.663
Re1 0.319 0.500 0.694
Re2 0.500 0.500 0.000
Re3 0.681 0.500 0.306

***

3.
# PrAlCd3

PrAlCd3 after structural relaxation (PBE-GGA, the Alexandria database).

Its crystal system is orthorhombic. Its space-group type is No. 62. The formation energy comes out at -0.23 eV/atom.

Lattice parameters (Å, degrees): 9.075 4.507 11.791 90.00 90.00 90.00
Atoms (fractional coordinates):
Pr1 0.186 0.250 0.001
Pr2 0.314 0.750 0.501
Pr3 0.686 0.250 0.499
Pr4 0.814 0.750 0.999
Al1 0.117 0.250 0.633
Al2 0.383 0.750 0.133
Al3 0.617 0.250 0.867
Al4 0.883 0.750 0.367
Cd1 0.070 0.250 0.400
Cd2 0.099 0.750 0.203
Cd3 0.133 0.750 0.797
Cd4 0.367 0.250 0.297
Cd5 0.401 0.250 0.703
Cd6 0.430 0.750 0.900
Cd7 0.570 0.250 0.100
Cd8 0.599 0.750 0.297
Cd9 0.633 0.750 0.703
Cd10 0.867 0.250 0.203
Cd11 0.901 0.250 0.797
Cd12 0.930 0.750 0.600

***

4.
# PrYErHg

PrYErHg after structural relaxation (PBE-GGA, the Alexandria database).

Its crystal system is cubic. Its space-group type is No. 216. The formation energy comes out at -0.07 eV/atom.

Lattice parameters (Å, degrees): 5.480 5.480 5.480 60.00 60.00 60.00
Atoms (fractional coordinates):
Pr1 0.000 0.000 0.000
Y1 0.500 0.500 0.500
Er1 0.250 0.250 0.250
Hg1 0.750 0.750 0.750

***

5.
# Si2SbIr

Si2SbIr after structural relaxation (PBE-GGA, the Alexandria database).

Its crystal system is monoclinic. Its space-group type is No. 12. For the uncorrected formation energy, the calculation gives 0.181 eV/f.u.

Lattice parameters (Å, degrees): 4.175 4.175 5.830 105.24 105.24 48.43
Atoms (fractional coordinates):
Si1 0.237 0.237 0.170
Si2 0.763 0.763 0.830
Sb1 0.000 0.000 0.500
Ir1 0.500 0.500 0.000

***

6.
# Be3AlV

Be3AlV after structural relaxation (PBE-GGA, the Alexandria database).

Its crystal system is cubic. Its space-group type is No. 221. The formation energy comes out at 1.34 eV/atom.

Lattice parameters (Å, degrees): 4.188 4.188 4.188 90.00 90.00 90.00
Atoms (fractional coordinates):
Be1 0.000 0.000 0.500
Be2 0.000 0.500 0.000
Be3 0.500 0.000 0.000
Al1 0.500 0.500 0.500
V1 0.000 0.000 0.000

***

7.
# Li2Sb2Au

Li2Sb2Au after structural relaxation (PBE-GGA, the Alexandria database).

Its crystal system is tetragonal. Its space-group type is No. 127. For the uncorrected formation energy, the calculation gives -0.953 eV/f.u.

Lattice parameters (Å, degrees): 7.833 7.833 3.254 90.00 90.00 90.00
Atoms (fractional coordinates):
Li1 0.114 0.386 0.000
Li2 0.386 0.886 0.000
Li3 0.614 0.114 0.000
Li4 0.886 0.614 0.000
Sb1 0.190 0.690 0.500
Sb2 0.310 0.190 0.500
Sb3 0.690 0.810 0.500
Sb4 0.810 0.310 0.500
Au1 0.000 0.000 0.000
Au2 0.500 0.500 0.000

***

8.
# AcHfS2O

AcHfS2O after structural relaxation (PBE-GGA, the Alexandria database).

Its crystal system is tetragonal. Its space-group type is No. 129. For the uncorrected formation energy, the calculation gives -10.676 eV/f.u.

Lattice parameters (Å, degrees): 3.897 3.897 13.688 90.00 90.00 90.00
Atoms (fractional coordinates):
Ac1 0.250 0.250 0.104
Ac2 0.750 0.750 0.896
Hf1 0.250 0.250 0.597
Hf2 0.750 0.750 0.403
S1 0.250 0.250 0.404
S2 0.250 0.250 0.773
S3 0.750 0.750 0.227
S4 0.750 0.750 0.596
O1 0.250 0.750 0.000
O2 0.750 0.250 0.000

***

9.
# Ce2TmIn2Ag2

Ce2TmIn2Ag2 after structural relaxation (PBE-GGA, the Alexandria database).

Its crystal system is trigonal. Its space-group type is No. 166. The formation energy comes out at -0.22 eV/atom.

Lattice parameters (Å, degrees): 9.118 9.118 9.118 30.32 30.32 30.32
Atoms (fractional coordinates):
Ce1 0.139 0.139 0.139
Ce2 0.861 0.861 0.861
Tm1 0.000 0.000 0.000
In1 0.268 0.268 0.268
In2 0.732 0.732 0.732
Ag1 0.399 0.399 0.399
Ag2 0.601 0.601 0.601

***

10.
# ScBe17W

ScBe17W after structural relaxation (PBE-GGA, the Alexandria database).

Its crystal system is trigonal. Its space-group type is No. 160. The formation energy comes out at -0.15 eV/atom.

Lattice parameters (Å, degrees): 5.567 5.567 5.567 82.97 82.97 82.97
Atoms (fractional coordinates):
Sc1 0.000 0.000 0.000
Be1 0.010 0.010 0.498
Be2 0.010 0.498 0.010
Be3 0.162 0.659 0.659
Be4 0.318 0.318 0.820
Be5 0.318 0.820 0.318
Be6 0.369 0.659 0.956
Be7 0.369 0.956 0.659
Be8 0.498 0.010 0.010
Be9 0.560 0.560 0.560
Be10 0.659 0.162 0.659
Be11 0.659 0.369 0.956
Be12 0.659 0.659 0.162
Be13 0.659 0.956 0.369
Be14 0.756 0.756 0.756
Be15 0.820 0.318 0.318
Be16 0.956 0.369 0.659
Be17 0.956 0.659 0.369
W1 0.323 0.323 0.323

***

11.
# Ca2Sm2GeRh4

Ca2Sm2GeRh4 after structural relaxation (PBE-GGA, the Alexandria database).

Its crystal system is tetragonal. Its space-group type is No. 139. The formation energy comes out at -0.38 eV/atom.

Lattice parameters (Å, degrees): 6.510 6.510 6.510 119.05 119.05 91.66
Atoms (fractional coordinates):
Ca1 0.250 0.750 0.500
Ca2 0.750 0.250 0.500
Sm1 0.184 0.184 0.000
Sm2 0.816 0.816 0.000
Ge1 0.500 0.500 0.000
Rh1 0.242 0.242 0.483
Rh2 0.242 0.758 0.000
Rh3 0.758 0.242 0.000
Rh4 0.758 0.758 0.517

***

12.
# Ce2SiTc

Ce2SiTc after structural relaxation (PBE-GGA, the Alexandria database).

Its crystal system is trigonal. Its space-group type is No. 160. For the uncorrected formation energy, the calculation gives -1.647 eV/f.u.

Lattice parameters (Å, degrees): 5.501 5.501 5.501 47.39 47.39 47.39
Atoms (fractional coordinates):
Ce1 0.000 0.000 0.000
Ce2 0.224 0.224 0.224
Si1 0.779 0.779 0.779
Tc1 0.440 0.440 0.440

***

Sequential total energy output: -2.1387, -8.4119, -2.4803, -4.0956, -5.9122, -3.4634, -3.2606, -7.5902, -4.1534, -4.5030, -5.6516, -7.3259 eV/atom
Sequential total magnetization output: 0.00, 0.00, 0.00, 0.01, 0.00, 0.42, 0.00, 0.00, 1.84, 0.00, 0.00, 0.00 μB per formula unit